Tm3C2F | PBE | relaxed

Calculated values
SG: Cmcm (63)
Formation energy without anion corrections, eV/f.u.: -4.458
DFT total energy, eV per atom: -6.3653
Magnetic moment, μB/cell: 0.00

Lattice parameters (Å, degrees): 3.5990 6.3025 10.4771 90.00 90.00 106.59
With the nearest neighbours (Å) after each atom.
Fractional coordinates of all 12 atoms:
Tm: 0.3867 0.7734 0.5751  1 C 2.12
Tm: 0.3867 0.7734 0.9249  1 C 2.12
C: 0.5252 0.0505 0.2500  4 Tm 2.12-2.23
C: 0.4748 0.9495 0.7500  4 Tm 2.12-2.23
Tm: 0.0839 0.1678 0.7500  2 C 2.23, 2 F 2.48
F: 0.7253 0.4507 0.7500  2 Tm 2.48
C: 0.0000 0.0000 0.5000  4 Tm 2.39
C: 0.0000 0.0000 0.0000  4 Tm 2.39
F: 0.2747 0.5493 0.2500  2 Tm 2.48
Tm: 0.9161 0.8322 0.2500  2 C 2.23, 2 F 2.48
Tm: 0.6133 0.2266 0.4249  1 C 2.12
Tm: 0.6133 0.2266 0.0751  1 C 2.12